Here is an optimized crystal structure of TlCoNi2 from Alexandria via LeMat-Bulk. Energies are from GGA-PBE.

Lattice parameters (Å, degrees): 9.0946 9.0946 9.0946 156.25 156.25 33.84
Positions (direct):
Tl 0.0000 0.0000 0.0000
Tl 0.7500 0.2500 0.5000
Co 0.2500 0.7500 0.5000
Co 0.5000 0.5000 0.0000
Ni 0.1706 0.6250 0.0456
Ni 0.3750 0.4206 0.5456
Ni 0.5794 0.1250 0.9544
Ni 0.8750 0.8294 0.4544

Summary:
The energy above the lowest structure with this stoichiometry is 0.3069 eV per atom.